Below is a relaxed Ba2CrFe crystal, with properties calculated at the GGA-PBE level.

Values from the calculation:
- ρ: 5.3 Mg/m³
- DFT total energy: -4.518 eV per atom
- Formation enthalpy at 0 K: 965 meV/atom

Cell lengths 5.520, 5.520, 5.520 Å; angles 60.00, 60.00, 60.00 degrees
Site moments in Bohr magnetons follow the coordinates.
Element x y z (fractional)
Ba: 0.000 0.000 0.000  0.01
Cr: 0.500 0.500 0.500  -3.96
Fe: 0.750 0.750 0.750  2.96
Ba: 0.250 0.250 0.250  -0.11